# 1
## Pm6Dy3Y2Mg (PBE)

Data for an optimized crystal structure of Pm6Dy3Y2Mg.

Cell: 6.217 6.217 11.789 Å, 95.05 95.05 120.01°
Element x y z (fractional)
1 Pm 0.082 0.414 0.249
2 Pm 0.250 0.250 0.750
3 Pm 0.414 0.082 0.249
4 Pm 0.586 0.918 0.751
5 Pm 0.750 0.750 0.250
6 Pm 0.918 0.586 0.751
7 Dy 0.166 0.834 0.500
8 Dy 0.500 0.500 0.500
9 Dy 0.834 0.166 0.500
10 Y 0.333 0.667 0.000
11 Y 0.667 0.333 0.000
12 Mg 0.000 0.000 0.000

Output
Crystal system: monoclinic
E_form: 0.020 eV per atom
SG: C2/m, No. 12



# 2
## K2CdP2 (PBE)

Data for an optimized crystal structure of K2CdP2.

Cell: 8.164 8.164 4.527 Å, 90.00 90.00 90.00°
Element x y z (fractional)
1 K 0.195 0.305 0.000
2 K 0.305 0.805 0.000
3 K 0.695 0.195 0.000
4 K 0.805 0.695 0.000
5 Cd 0.000 0.000 0.500
6 Cd 0.500 0.500 0.500
7 P 0.090 0.590 0.500
8 P 0.410 0.090 0.500
9 P 0.590 0.910 0.500
10 P 0.910 0.410 0.500

Output
Crystal system: tetragonal
E_form: -0.170 eV per atom
SG: P4/mbm, No. 127
Polymorph energy (0 for the lowest one): 0.000 eV/atom



# 3
## TbEuTh (PBE)

Data for an optimized crystal structure of TbEuTh.

Cell: 3.628 3.628 9.000 Å, 90.00 90.00 120.00°
Element x y z (fractional)
1 Tb 0.000 0.000 0.000
2 Eu 0.333 0.667 0.647
3 Th 0.667 0.333 0.310

Output
Crystal system: trigonal
E_form: 0.080 eV per atom
SG: P3m1, No. 156
Polymorph energy (0 for the lowest one): 0.000 eV/atom



# 4
## Ac2PmPr (PBE)

Data for an optimized crystal structure of Ac2PmPr.

Cell: 6.095 6.095 6.095 Å, 60.00 60.00 60.00°
Element x y z (fractional)
1 Ac 0.250 0.250 0.250
2 Ac 0.750 0.750 0.750
3 Pm 0.000 0.000 0.000
4 Pr 0.500 0.500 0.500

Output
Crystal system: cubic
E_form: 0.113 eV per atom
SG: Fm-3m, No. 225
Polymorph energy (0 for the lowest one): 0.089 eV/atom